A plane-wave DFT calculation with PBE was carried out for a relaxed structure of YTcPt.

Summary:
Total DFT energy (no corrections) in eV for the cell shown: -90.88
Energy of formation in meV/atom: 54.3
Energy above the most stable polymorph in this dataset in meV/atom: 0

a = 6.453 Å, b = 6.453 Å, c = 6.453 Å
α = 90.00°, β = 90.00°, γ = 90.00°
Space group F-43m (No. 216)
Symmetry-distinct sites (fractional):
Y  0.000  0.000  0.000
Tc  0.000  0.000  0.500
Pt  0.250  0.250  0.750

***

A plane-wave DFT calculation with PBE was carried out for a relaxed structure of HfMgCuAs.

Summary:
Total DFT energy (no corrections) in eV for the cell shown: -74.97
Energy above the most stable polymorph in this dataset in meV/atom: 131

a = 6.626 Å, b = 6.626 Å, c = 6.626 Å
α = 90.00°, β = 90.00°, γ = 90.00°
Space group F-43m (No. 216)
Symmetry-distinct sites (fractional):
Hf  0.000  0.000  0.000
Mg  0.250  0.250  0.250
Cu  0.250  0.250  0.750
As  0.000  0.000  0.500

***

A plane-wave DFT calculation with PBE was carried out for a relaxed structure of RbFeCuSe2S.

Summary:
Total DFT energy (no corrections) in eV for the cell shown: -106.43

a = 3.681 Å, b = 15.037 Å, c = 9.745 Å
α = 90.00°, β = 90.00°, γ = 90.00°
Space group Cmcm (No. 63)
Symmetry-distinct sites (fractional):
Rb  0.000  0.245  0.250
Fe  0.000  0.500  0.000
Cu  0.000  0.032  0.750
Se  0.000  0.107  0.536
S  0.000  0.445  0.750

***

Q: Which value of total DFT energy (no corrections) does entry 3 give?
A: -106.43 eV for the cell shown